# 1
Entry from Alexandria via LeMat-Bulk: crystalline Ni2PdRh2 at its relaxed geometry (PBE).

```
Ni2PdRh2
1.0
3.798 0.000 0.873
1.528 3.843 2.050
-0.323 1.929 10.101
Ni Pd Rh
4 2 4
direct
0.285 0.854 0.576 Ni
0.425 0.292 0.857 Ni
0.715 0.146 0.424 Ni
0.575 0.708 0.143 Ni
0.698 0.860 0.743 Pd
0.302 0.140 0.257 Pd
0.018 0.610 0.353 Rh
0.139 0.772 0.951 Rh
0.982 0.390 0.647 Rh
0.861 0.228 0.049 Rh
```

Formation energy (eV/f.u.): 0.74
Spin magnetization (μB/atom): 0.52
ΔE to the lowest computed polymorph (eV/atom): 0.000
SG: C2/m, No. 12

=====

# 2
Entry from Alexandria via LeMat-Bulk: crystalline NiPd4Rh at its relaxed geometry (PBE).

```
NiPd4Rh
1.0
2.751 0.000 0.000
0.000 4.768 -0.003
0.000 -0.008 13.411
Ni Pd Rh
2 8 2
direct
0.500 0.500 0.500 Ni
0.000 0.000 0.000 Ni
0.500 0.168 0.336 Pd
0.000 0.332 0.164 Pd
0.500 0.832 0.664 Pd
0.000 0.668 0.836 Pd
0.000 0.665 0.338 Pd
0.500 0.835 0.162 Pd
0.000 0.335 0.662 Pd
0.500 0.165 0.838 Pd
0.000 0.000 0.500 Rh
0.500 0.500 0.000 Rh
```

Formation energy (eV/f.u.): 0.35
Spin magnetization (μB/atom): 0.55
ΔE to the lowest computed polymorph (eV/atom): 0.000
SG: C2/m, No. 12

=====

# 3
Entry from Alexandria via LeMat-Bulk: crystalline Ni2Pd8Rh at its relaxed geometry (PBE).

```
Ni2Pd8Rh
1.0
-0.999 3.899 -0.250
-1.815 -0.864 -6.267
-5.404 -1.153 3.576
Ni Pd Rh
2 8 1
direct
0.500 0.615 0.391 Ni
0.500 0.391 0.615 Ni
0.500 0.312 0.045 Pd
0.500 0.045 0.312 Pd
0.000 0.337 0.337 Pd
0.000 0.258 0.749 Pd
0.000 0.749 0.258 Pd
0.000 0.669 0.669 Pd
0.500 0.961 0.694 Pd
0.500 0.694 0.961 Pd
0.000 0.003 0.003 Rh
```

Formation energy (eV/f.u.): 1.77
Spin magnetization (μB/atom): 0.53
ΔE to the lowest computed polymorph (eV/atom): 0.000
SG: Cmmm, No. 65

=====

# 4
Entry from Alexandria via LeMat-Bulk: crystalline Ni4PdRh2 at its relaxed geometry (PBE).

```
Ni4PdRh2
1.0
-0.664 -5.481 -2.625
4.356 1.411 -4.051
-0.118 1.094 4.867
Ni Pd Rh
4 1 2
direct
0.696 0.304 0.000 Ni
0.304 0.696 0.000 Ni
0.304 0.304 0.000 Ni
0.696 0.696 0.000 Ni
0.000 0.000 0.000 Pd
0.750 0.250 0.500 Rh
0.250 0.750 0.500 Rh
```

Formation energy (eV/f.u.): 1.54
Spin magnetization (μB/atom): 0.50
SG: I4/mmm, No. 139

=====

# 5
Entry from Alexandria via LeMat-Bulk: crystalline NiPd5Rh at its relaxed geometry (PBE).

```
NiPd5Rh
1.0
5.273 0.411 1.059
2.063 4.870 1.059
3.728 2.684 10.228
Ni Pd Rh
2 10 2
direct
0.000 0.000 0.000 Ni
0.000 0.000 0.500 Ni
0.558 0.918 0.264 Pd
0.263 0.464 0.500 Pd
0.918 0.558 0.764 Pd
0.074 0.926 0.250 Pd
0.536 0.737 0.000 Pd
0.464 0.263 0.000 Pd
0.926 0.074 0.750 Pd
0.082 0.442 0.236 Pd
0.737 0.536 0.500 Pd
0.442 0.082 0.736 Pd
0.597 0.403 0.250 Rh
0.403 0.597 0.750 Rh
```

Formation energy (eV/f.u.): 2.20
Spin magnetization (μB/atom): 0.32
SG: C2/c, No. 15

=====

# 6
Entry from Alexandria via LeMat-Bulk: crystalline NiPdRh at its relaxed geometry (PBE).

```
NiPdRh
1.0
2.718 0.000 0.000
0.000 2.718 0.000
-1.359 -1.359 5.586
Ni Rh Pd
1 1 1
direct
0.329 0.329 0.659 Ni
0.677 0.677 0.353 Rh
0.994 0.994 0.988 Pd
```

Formation energy (eV/f.u.): 0.17
Spin magnetization (μB/atom): 0.72
ΔE to the lowest computed polymorph (eV/atom): 0.000
SG: I4mm, No. 107